Record 1
A PBEsol-optimized structure of CuHg2Ge2. Source: the Alexandria database, functional meta-GGA SCAN.

Unit cell a=3.566 b=3.566 c=15.625 alpha=90.00 beta=90.00 gamma=90.00
Space group I4/mmm (No. 139)
Unique sites:
1 Cu 0.000 0.000 0.000 x2
2 Hg 0.000 0.000 0.410 x4
3 Ge 0.000 0.500 0.250 x4

Results
ΔE_f in eV per formula unit: 2.02

---

Record 2
A PBEsol-optimized structure of CaMo3N. Source: the Alexandria database, functional meta-GGA SCAN.

Unit cell a=4.208 b=4.208 c=4.208 alpha=90.00 beta=90.00 gamma=90.00
Space group Pm-3m (No. 221)
Unique sites:
1 Ca 0.000 0.000 0.000 x1
2 Mo 0.000 0.500 0.500 x3
3 N 0.500 0.500 0.500 x1

Results
Formation energy from raw total energies in meV per atom: 283.9

---

Record 3
A PBEsol-optimized structure of Ba2CoWO6. Source: the Alexandria database, functional meta-GGA SCAN.

Unit cell a=8.047 b=8.047 c=8.047 alpha=90.00 beta=90.00 gamma=90.00
Space group Fm-3m (No. 225)
Unique sites:
1 Ba 0.250 0.250 0.250 x8
2 Co 0.000 0.000 0.000 x4
3 W 0.000 0.000 0.500 x4
4 O 0.000 0.000 0.259 x24

Results
Formation energy from raw total energies in meV per atom: -2541.9

---

Record 4
A PBEsol-optimized structure of SrReMo2. Source: the Alexandria database, functional meta-GGA SCAN.

Unit cell a=9.718 b=3.152 c=5.667 alpha=90.00 beta=104.56 gamma=90.00
Space group C2/m (No. 12)
Unique sites:
1 Sr 0.000 0.000 0.000 x2
2 Re 0.000 0.500 0.500 x2
3 Mo 0.211 0.000 0.640 x4

Results
Excess energy over the best structure of this formula in the dataset in eV per formula unit: 0.00
ΔE_f in eV per formula unit: 2.93

---

Record 5
A PBEsol-optimized structure of Si2AsBr. Source: the Alexandria database, functional meta-GGA SCAN.

Unit cell a=6.626 b=6.626 c=6.626 alpha=90.00 beta=90.00 gamma=90.00
Space group F-43m (No. 216)
Unique sites:
1 Si 0.000 0.000 0.000 x4
2 Si 0.250 0.250 0.250 x4
3 As 0.250 0.250 0.750 x4
4 Br 0.000 0.000 0.500 x4

Results
Excess energy over the best structure of this formula in the dataset in eV per formula unit: 1.60
Formation energy from raw total energies in meV per atom: 859.0

---

Record 6
A PBEsol-optimized structure of Ta4RuPb. Source: the Alexandria database, functional meta-GGA SCAN.

Unit cell a=7.618 b=7.618 c=7.618 alpha=90.00 beta=90.00 gamma=90.00
Space group F-43m (No. 216)
Unique sites:
1 Ta 0.125 0.125 0.125 x16
2 Ru 0.000 0.000 0.500 x4
3 Pb 0.250 0.250 0.750 x4

Results
ΔE_f in eV per formula unit: 2.78

---

Record 7
A PBEsol-optimized structure of LiSbI2. Source: the Alexandria database, functional meta-GGA SCAN.

Unit cell a=7.972 b=7.972 c=7.624 alpha=90.00 beta=90.00 gamma=90.00
Space group I-42d (No. 122)
Unique sites:
1 Li 0.000 0.000 0.000 x4
2 Sb 0.000 0.000 0.500 x4
3 I 0.217 0.250 0.125 x8

Results
Formation energy from raw total energies in meV per atom: -242.2

---

Record 8
A PBEsol-optimized structure of FeTc2Au. Source: the Alexandria database, functional meta-GGA SCAN.

Unit cell a=2.716 b=3.780 c=5.472 alpha=90.00 beta=90.11 gamma=90.00
Space group Pm (No. 6)
Unique sites:
1 Fe 0.000 0.000 0.000 x1
2 Tc 0.004 0.000 0.548 x1
3 Tc 0.488 0.500 0.766 x1
4 Au 0.499 0.500 0.259 x1

Results
Excess energy over the best structure of this formula in the dataset in eV per formula unit: 0.00
ΔE_f in eV per formula unit: 0.45

---

Ordered total magnetization results: 0.00 0.00 3.00 0.00 0.00 0.00 0.00 2.79; unit μB/f.u..